1.
# OsRu2Cl meta-GGA SCAN PBEsol geometry
# - formation energy (no corrections) (meV per atom) = 509
# - raw total energy (eV per atom) = -36.869
# - magnetic moment (μB per formula unit) = 0.00
# - DOS at the Fermi energy (states/eV/cell) = 3.85
# - ΔE to the lowest computed polymorph (eV per formula unit) = 0.00
data_OsRu2Cl
_chemical_formula_sum 'Os1 Ru2 Cl1'
_cell_length_a 2.7744
_cell_length_b 2.7744
_cell_length_c 7.1982
_cell_angle_alpha 90.00
_cell_angle_beta 90.00
_cell_angle_gamma 90.00
_symmetry_space_group_name_H-M 'P 4/m m m'
_symmetry_Int_Tables_number 123
_symmetry_space_group_name_Hall '-P 4 2'
loop_
_atom_site_label
_atom_site_type_symbol
_atom_site_fract_x
_atom_site_fract_y
_atom_site_fract_z
_atom_site_occupancy
Os1 Os 0.0000 0.0000 0.0000 1
Ru1 Ru 0.5000 0.5000 0.2473 1
Cl1 Cl 0.0000 0.0000 0.5000 1


2.
# Y3AsSe meta-GGA SCAN PBEsol geometry
# - formation energy (no corrections) (meV per atom) = -574
# - raw total energy (eV per atom) = -25.334
# - magnetic moment (μB per formula unit) = 1.79
# - DOS at the Fermi energy (states/eV/cell) = 4.95
data_Y3AsSe
_chemical_formula_sum 'Y3 As1 Se1'
_cell_length_a 5.2153
_cell_length_b 5.2153
_cell_length_c 5.2153
_cell_angle_alpha 90.00
_cell_angle_beta 90.00
_cell_angle_gamma 90.00
_symmetry_space_group_name_H-M 'P m -3 m'
_symmetry_Int_Tables_number 221
_symmetry_space_group_name_Hall '-P 4 2 3'
loop_
_atom_site_label
_atom_site_type_symbol
_atom_site_fract_x
_atom_site_fract_y
_atom_site_fract_z
_atom_site_occupancy
Y1 Y 0.0000 0.0000 0.5000 1
As1 As 0.5000 0.5000 0.5000 1
Se1 Se 0.0000 0.0000 0.0000 1


> Which of these has the highest magnetic moment?

Y3AsSe


> magnetic moment of number 2 (Y3AsSe)?

1.79 μB per formula unit


> The lowest DOS at the Fermi energy belongs to which entry?

OsRu2Cl


> The lowest DOS at the Fermi energy belongs to which entry?

OsRu2Cl